PBE-GGA As2IrAu, relaxed; electronic total energy = -4.967 eV per atom; distance to the lowest polymorph of the same formula = 444.0 meV/atom; ΔH_f (0 K) = 1.569 eV per formula unit
1.0
3.961 0.000 0.000
0.000 3.961 0.000
0.000 0.000 8.707
As Ir Au
4 2 2
direct
0.000 0.000 0.000
0.000 0.500 0.250
0.500 0.000 0.750
0.500 0.500 0.500
0.000 0.000 0.500
0.500 0.500 0.000
0.000 0.500 0.750
0.500 0.000 0.250

PBE-GGA Sr3CdAu8, relaxed; electronic total energy = -3.187 eV per atom; ΔH_f (0 K) = -6.069 eV per formula unit
1.0
2.911 1.681 9.330
-2.911 1.681 9.330
0.000 -3.361 9.330
Sr Cd Au
3 1 8
direct
0.000 0.000 0.000
0.130 0.130 0.130
0.516 0.516 0.516
0.639 0.639 0.639
0.070 0.070 0.565
0.070 0.565 0.070
0.071 0.568 0.568
0.319 0.319 0.319
0.565 0.070 0.070
0.568 0.071 0.568
0.568 0.568 0.071
0.819 0.819 0.819

PBE-GGA Tm2Zn4Cu3, relaxed; electronic total energy = -3.192 eV per atom; ΔH_f (0 K) = -2.400 eV per formula unit
1.0
0.000 4.446 6.586
2.546 0.000 6.586
2.546 4.446 0.000
Tm Zn Cu
2 4 3
direct
0.128 0.128 0.872
0.872 0.872 0.128
0.170 0.498 0.502
0.498 0.170 0.830
0.502 0.830 0.170
0.830 0.502 0.498
0.000 0.000 0.500
0.500 0.500 0.000
0.500 0.500 0.500

PBE-GGA MgVGa2C, relaxed; electronic total energy = -4.310 eV per atom; ΔH_f (0 K) = 4.441 eV per formula unit
1.0
4.294 0.000 0.000
0.000 4.294 0.000
0.000 0.000 4.135
Mg V Ga C
1 1 2 1
direct
0.000 0.000 0.000
0.500 0.500 0.000
0.000 0.500 0.500
0.500 0.000 0.500
0.000 0.000 0.500

PBE-GGA Te2IrNO, relaxed; electronic total energy = -4.434 eV per atom; distance to the lowest polymorph of the same formula = 491.9 meV/atom; energy relative to the elements, uncorrected = 28.87 kcal/mol of atoms
1.0
4.714 0.000 0.000
0.000 4.714 0.000
0.000 0.000 3.643
Te Ir N O
2 1 1 1
direct
0.000 0.500 0.000
0.500 0.000 0.000
0.000 0.000 0.500
0.500 0.500 0.500
0.500 0.500 0.000

PBE-GGA Na3Pr3NbO8, relaxed; electronic total energy = -7.068 eV per atom; energy relative to the elements, uncorrected = -58.41 kcal/mol of atoms
1.0
3.500 2.021 5.687
-3.500 2.021 5.687
0.000 -4.041 5.687
Na Pr Nb O
3 3 1 8
direct
0.000 0.500 0.500
0.500 0.000 0.500
0.500 0.500 0.000
0.000 0.000 0.500
0.000 0.500 0.000
0.500 0.000 0.000
0.500 0.500 0.500
0.245 0.245 0.245
0.280 0.710 0.710
0.290 0.290 0.720
0.290 0.720 0.290
0.710 0.280 0.710
0.710 0.710 0.280
0.720 0.290 0.290
0.755 0.755 0.755

PBE-GGA RbZn2In5, relaxed; electronic total energy = -2.189 eV per atom; ΔH_f (0 K) = -0.305 eV per formula unit
1.0
4.731 0.000 0.000
0.000 8.072 0.000
0.000 0.000 11.385
Rb Zn In
2 4 10
direct
0.000 0.000 0.000
0.500 0.500 0.500
0.000 0.500 0.246
0.000 0.500 0.754
0.500 0.000 0.254
0.500 0.000 0.746
0.000 0.193 0.355
0.000 0.193 0.645
0.000 0.500 0.000
0.000 0.807 0.355
0.000 0.807 0.645
0.500 0.000 0.500
0.500 0.307 0.145
0.500 0.307 0.855
0.500 0.693 0.145
0.500 0.693 0.855

PBE-GGA AcCePrEr, relaxed; electronic total energy = -4.626 eV per atom; ΔH_f (0 K) = 0.879 eV per formula unit
1.0
8.323 0.000 0.000
0.000 8.323 0.000
0.000 0.000 8.323
Ac Ce Pr Er
4 4 4 4
direct
0.000 0.000 0.000
0.000 0.500 0.500
0.500 0.000 0.500
0.500 0.500 0.000
0.250 0.250 0.750
0.250 0.750 0.250
0.750 0.250 0.250
0.750 0.750 0.750
0.000 0.000 0.500
0.000 0.500 0.000
0.500 0.000 0.000
0.500 0.500 0.500
0.250 0.250 0.250
0.250 0.750 0.750
0.750 0.250 0.750
0.750 0.750 0.250

PBE-GGA Er3Tm4Cd, relaxed; electronic total energy = -4.120 eV per atom; ΔH_f (0 K) = -0.468 eV per formula unit
1.0
3.500 0.000 0.000
0.000 3.500 0.000
0.000 0.000 18.989
Er Tm Cd
3 4 1
direct
0.000 0.000 0.000
0.000 0.000 0.260
0.000 0.000 0.740
0.500 0.500 0.130
0.500 0.500 0.390
0.500 0.500 0.610
0.500 0.500 0.870
0.000 0.000 0.500

PBE-GGA Pr3TlTe, relaxed; electronic total energy = -4.672 eV per atom; distance to the lowest polymorph of the same formula = 0.0 meV/atom; energy relative to the elements, uncorrected = -16.21 kcal/mol of atoms
1.0
8.279 0.000 0.000
0.000 4.737 0.000
0.000 0.000 17.053
Pr Tl Te
12 4 4
direct
0.006 0.250 0.112
0.127 0.250 0.555
0.196 0.750 0.264
0.304 0.250 0.764
0.373 0.750 0.055
0.494 0.750 0.612
0.506 0.250 0.388
0.627 0.250 0.945
0.696 0.750 0.236
0.804 0.250 0.736
0.873 0.750 0.445
0.994 0.750 0.888
0.076 0.750 0.690
0.424 0.250 0.190
0.576 0.750 0.810
0.924 0.250 0.310
0.215 0.250 0.952
0.285 0.750 0.452
0.715 0.250 0.548
0.785 0.750 0.048

PBE-GGA Co2SeBr, relaxed; electronic total energy = -4.369 eV per atom; distance to the lowest polymorph of the same formula = 535.1 meV/atom; energy relative to the elements, uncorrected = 10.91 kcal/mol of atoms
1.0
3.156 0.000 0.000
0.000 3.156 0.000
0.000 0.000 6.588
Co Se Br
2 1 1
direct
0.000 0.000 0.194
0.000 0.000 0.806
0.500 0.500 0.000
0.500 0.500 0.500

PBE-GGA Er8Co2Hg, relaxed; electronic total energy = -4.769 eV per atom; ΔH_f (0 K) = -1.442 eV per formula unit
1.0
4.238 -6.460 0.000
4.238 6.460 0.000
-1.248 0.000 5.151
Er Co Hg
8 2 1
direct
0.067 0.332 0.578
0.247 0.753 0.000
0.332 0.067 0.578
0.383 0.383 0.197
0.617 0.617 0.803
0.668 0.933 0.422
0.753 0.247 0.000
0.933 0.668 0.422
0.308 0.692 0.500
0.692 0.308 0.500
0.000 0.000 0.000

Which formula does entry 8 have? AcCePrEr

Repeat the tenth record exactly.
PBE-GGA Pr3TlTe, relaxed; electronic total energy = -4.672 eV per atom; distance to the lowest polymorph of the same formula = 0.0 meV/atom; energy relative to the elements, uncorrected = -16.21 kcal/mol of atoms
1.0
8.279 0.000 0.000
0.000 4.737 0.000
0.000 0.000 17.053
Pr Tl Te
12 4 4
direct
0.006 0.250 0.112
0.127 0.250 0.555
0.196 0.750 0.264
0.304 0.250 0.764
0.373 0.750 0.055
0.494 0.750 0.612
0.506 0.250 0.388
0.627 0.250 0.945
0.696 0.750 0.236
0.804 0.250 0.736
0.873 0.750 0.445
0.994 0.750 0.888
0.076 0.750 0.690
0.424 0.250 0.190
0.576 0.750 0.810
0.924 0.250 0.310
0.215 0.250 0.952
0.285 0.750 0.452
0.715 0.250 0.548
0.785 0.750 0.048

Which formula does entry 11 have? Co2SeBr